Record 1
DFT (PBE) results for an optimized crystal structure of Tb2HoRu.

Results
E_form ... -0.172 eV per atom
Offset from the most stable computed form ... 0.145 eV/atom
Calculated density ... 9.20 g cm⁻³
VASP energy ... -23.8 eV per cell

```
data_Tb2HoRu
_chemical_formula_sum 'Tb2 Ho1 Ru1'
_symmetry_space_group_name_H-M 'P 4/m m m'
_symmetry_Int_Tables_number 123
_symmetry_space_group_name_Hall '-P 4 2'
_cell_length_a 3.438
_cell_length_b 3.438
_cell_length_c 8.917
_cell_angle_alpha 90.00
_cell_angle_beta 90.00
_cell_angle_gamma 90.00
loop_
_atom_site_label
_atom_site_fract_x
_atom_site_fract_y
_atom_site_fract_z
Tb1 0.000 0.000 0.186
Ho1 0.500 0.500 0.500
Ru1 0.500 0.500 0.000
```


Record 2
DFT (PBE) results for an optimized crystal structure of TbHo4Ru5.

Results
E_form ... -0.339 eV per atom
Calculated density ... 11.29 g cm⁻³
VASP energy ... -72.7 eV per cell

```
data_TbHo4Ru5
_chemical_formula_sum 'Tb1 Ho4 Ru5'
_symmetry_space_group_name_H-M 'P 4/m m m'
_symmetry_Int_Tables_number 123
_symmetry_space_group_name_Hall '-P 4 2'
_cell_length_a 3.393
_cell_length_b 3.393
_cell_length_c 16.921
_cell_angle_alpha 90.00
_cell_angle_beta 90.00
_cell_angle_gamma 90.00
loop_
_atom_site_label
_atom_site_fract_x
_atom_site_fract_y
_atom_site_fract_z
Tb1 0.000 0.000 0.000
Ho1 0.000 0.000 0.201
Ho2 0.000 0.000 0.400
Ru1 0.500 0.500 0.101
Ru2 0.500 0.500 0.301
Ru3 0.500 0.500 0.500
```


Record 3
DFT (PBE) results for an optimized crystal structure of Tb2HoRu.

Results
E_form ... 0.127 eV per atom
Offset from the most stable computed form ... 0.443 eV/atom
Calculated density ... 8.56 g cm⁻³
VASP energy ... -67.8 eV per cell

```
data_Tb2HoRu
_chemical_formula_sum 'Tb6 Ho3 Ru3'
_symmetry_space_group_name_H-M 'R -3 m'
_symmetry_Int_Tables_number 166
_symmetry_space_group_name_Hall '-R 3 2"'
_cell_length_a 3.5042
_cell_length_b 3.5042
_cell_length_c 31.9588
_cell_angle_alpha 90.00
_cell_angle_beta 90.00
_cell_angle_gamma 120.00
loop_
_atom_site_label
_atom_site_fract_x
_atom_site_fract_y
_atom_site_fract_z
Tb1 0.0000 0.0000 0.1068
Ho1 0.0000 0.0000 0.0000
Ru1 0.0000 0.0000 0.5000
```


Record 4
DFT (PBE) results for an optimized crystal structure of Tb3Ho4Ru4.

Results
E_form ... -0.316 eV per atom
Calculated density ... 10.04 g cm⁻³
VASP energy ... -145.6 eV per cell

```
data_Tb3Ho4Ru4
_chemical_formula_sum 'Tb6 Ho8 Ru8'
_symmetry_space_group_name_H-M 'I m m m'
_symmetry_Int_Tables_number 71
_symmetry_space_group_name_Hall '-I 2 2'
_cell_length_a 3.542
_cell_length_b 8.886
_cell_length_c 16.200
_cell_angle_alpha 90.00
_cell_angle_beta 90.00
_cell_angle_gamma 90.00
loop_
_atom_site_label
_atom_site_fract_x
_atom_site_fract_y
_atom_site_fract_z
Tb1 0.000 0.000 0.000
Tb2 0.000 0.500 0.098
Ho1 0.000 0.310 0.335
Ru1 0.000 0.000 0.257
Ru2 0.000 0.226 0.500
```


Record 5
DFT (PBE) results for an optimized crystal structure of TbHoRu4.

Results
E_form ... -0.301 eV per atom
Calculated density ... 11.27 g cm⁻³
VASP energy ... -192.5 eV per cell

```
data_TbHoRu4
_chemical_formula_sum 'Tb4 Ho4 Ru16'
_symmetry_space_group_name_H-M 'F -4 3 m'
_symmetry_Int_Tables_number 216
_symmetry_space_group_name_Hall 'F -4 2 3'
_cell_length_a 7.544
_cell_length_b 7.544
_cell_length_c 7.544
_cell_angle_alpha 90.00
_cell_angle_beta 90.00
_cell_angle_gamma 90.00
loop_
_atom_site_label
_atom_site_fract_x
_atom_site_fract_y
_atom_site_fract_z
Tb1 0.000 0.000 0.000
Ho1 0.250 0.250 0.250
Ru1 0.125 0.125 0.625
```


Record 6
DFT (PBE) results for an optimized crystal structure of Tb2Ho3Ru4.

Results
E_form ... -0.328 eV per atom
Calculated density ... 10.70 g cm⁻³
VASP energy ... -63.0 eV per cell

```
data_Tb2Ho3Ru4
_chemical_formula_sum 'Tb2 Ho3 Ru4'
_symmetry_space_group_name_H-M 'P -3 m 1'
_symmetry_Int_Tables_number 164
_symmetry_space_group_name_Hall '-P 3 2"'
_cell_length_a 4.8609
_cell_length_b 4.8609
_cell_length_c 9.2306
_cell_angle_alpha 90.00
_cell_angle_beta 90.00
_cell_angle_gamma 120.00
loop_
_atom_site_label
_atom_site_fract_x
_atom_site_fract_y
_atom_site_fract_z
Tb1 0.3333 0.6667 0.2055
Ho1 0.0000 0.0000 0.0000
Ho2 0.3333 0.6667 0.5908
Ru1 0.0000 0.0000 0.3580
Ru2 0.3333 0.6667 0.8941
```


Record 7
DFT (PBE) results for an optimized crystal structure of TbHo2Ru9.

Results
E_form ... -0.139 eV per atom
Calculated density ... 11.12 g cm⁻³
VASP energy ... -296.8 eV per cell

```
data_TbHo2Ru9
_chemical_formula_sum 'Tb3 Ho6 Ru27'
_symmetry_space_group_name_H-M 'R -3 m'
_symmetry_Int_Tables_number 166
_symmetry_space_group_name_Hall '-R 3 2"'
_cell_length_a 5.2597
_cell_length_b 5.2597
_cell_length_c 26.1503
_cell_angle_alpha 90.00
_cell_angle_beta 90.00
_cell_angle_gamma 120.00
loop_
_atom_site_label
_atom_site_fract_x
_atom_site_fract_y
_atom_site_fract_z
Tb1 0.0000 0.0000 0.0000
Ho1 0.0000 0.0000 0.1397
Ru1 0.0000 0.0000 0.3378
Ru2 0.0000 0.0000 0.5000
Ru3 0.0094 0.5047 0.9170
```


Record 8
DFT (PBE) results for an optimized crystal structure of Tb5HoRu4.

Results
E_form ... -0.263 eV per atom
Calculated density ... 9.62 g cm⁻³
VASP energy ... -134.9 eV per cell

```
data_Tb5HoRu4
_chemical_formula_sum 'Tb10 Ho2 Ru8'
_symmetry_space_group_name_H-M 'C 1 2/m 1'
_symmetry_Int_Tables_number 12
_cell_length_a 14.447
_cell_length_b 4.841
_cell_length_c 6.729
_cell_angle_alpha 90.00
_cell_angle_beta 90.21
_cell_angle_gamma 90.00
loop_
_symmetry_equiv_pos_as_xyz
'x,y,z'
'-x,-y,-z'
'-x,y,-z'
'x,-y,z'
'x+1/2,y+1/2,z'
'-x+1/2,-y+1/2,-z'
'-x+1/2,y+1/2,-z'
'x+1/2,-y+1/2,z'
loop_
_atom_site_label
_atom_site_fract_x
_atom_site_fract_y
_atom_site_fract_z
Tb1 0.000 0.000 0.000
Tb2 0.166 0.500 0.002
Tb3 0.166 0.500 0.501
Ho1 0.000 0.000 0.500
Ru1 0.001 0.500 0.749
Ru2 0.165 0.000 0.750
```


Record 9
DFT (PBE) results for an optimized crystal structure of Tb3Ho5Ru2.

Results
E_form ... -0.029 eV per atom
Calculated density ... 8.82 g cm⁻³
VASP energy ... -222.5 eV per cell

```
data_Tb3Ho5Ru2
_chemical_formula_sum 'Tb12 Ho20 Ru8'
_symmetry_space_group_name_H-M 'I b a m'
_symmetry_Int_Tables_number 72
_symmetry_space_group_name_Hall '-I 2 2c'
_cell_length_a 11.885
_cell_length_b 14.287
_cell_length_c 6.666
_cell_angle_alpha 90.00
_cell_angle_beta 90.00
_cell_angle_gamma 90.00
loop_
_atom_site_label
_atom_site_fract_x
_atom_site_fract_y
_atom_site_fract_z
Tb1 0.000 0.000 0.250
Tb2 0.235 0.181 0.000
Ho1 0.000 0.280 0.250
Ho2 0.000 0.500 0.250
Ho3 0.220 0.436 0.000
Ru1 0.100 0.160 0.500
```


Record 10
DFT (PBE) results for an optimized crystal structure of Tb2Ho2Ru3.

Results
E_form ... -0.322 eV per atom
Offset from the most stable computed form ... 0.000 eV/atom
Calculated density ... 10.04 g cm⁻³
VASP energy ... -48.5 eV per cell

```
data_Tb2Ho2Ru3
_chemical_formula_sum 'Tb2 Ho2 Ru3'
_symmetry_space_group_name_H-M 'P 1 2/m 1'
_symmetry_Int_Tables_number 10
_cell_length_a 6.812
_cell_length_b 3.362
_cell_length_c 7.614
_cell_angle_alpha 90.00
_cell_angle_beta 115.59
_cell_angle_gamma 90.00
loop_
_symmetry_equiv_pos_as_xyz
'x,y,z'
'-x,-y,-z'
'-x,y,-z'
'x,-y,z'
loop_
_atom_site_label
_atom_site_fract_x
_atom_site_fract_y
_atom_site_fract_z
Tb1 0.125 0.000 0.248
Ho1 0.387 0.000 0.758
Ru1 0.253 0.500 0.005
Ru2 0.500 0.500 0.500
```


Record 11
DFT (PBE) results for an optimized crystal structure of Tb2Ho3Ru2.

Results
E_form ... -0.339 eV per atom
Calculated density ... 9.40 g cm⁻³
VASP energy ... -87.8 eV per cell

```
data_Tb2Ho3Ru2
_chemical_formula_sum 'Tb4 Ho6 Ru4'
_symmetry_space_group_name_H-M 'C 1 2/m 1'
_symmetry_Int_Tables_number 12
_cell_length_a 11.889
_cell_length_b 3.867
_cell_length_c 8.537
_cell_angle_alpha 90.00
_cell_angle_beta 114.05
_cell_angle_gamma 90.00
loop_
_symmetry_equiv_pos_as_xyz
'x,y,z'
'-x,-y,-z'
'-x,y,-z'
'x,-y,z'
'x+1/2,y+1/2,z'
'-x+1/2,-y+1/2,-z'
'-x+1/2,y+1/2,-z'
'x+1/2,-y+1/2,z'
loop_
_atom_site_label
_atom_site_fract_x
_atom_site_fract_y
_atom_site_fract_z
Tb1 0.164 0.000 0.308
Ho1 0.000 0.500 0.500
Ho2 0.122 0.500 0.928
Ru1 0.179 0.000 0.724
```


Record 12
DFT (PBE) results for an optimized crystal structure of TbHo2Ru.

Results
E_form ... -0.312 eV per atom
Offset from the most stable computed form ... 0.018 eV/atom
Calculated density ... 9.29 g cm⁻³
VASP energy ... -97.2 eV per cell

```
data_TbHo2Ru
_chemical_formula_sum 'Tb4 Ho8 Ru4'
_symmetry_space_group_name_H-M 'C m c m'
_symmetry_Int_Tables_number 63
_symmetry_space_group_name_Hall '-C 2c 2'
_cell_length_a 3.903
_cell_length_b 11.895
_cell_length_c 9.082
_cell_angle_alpha 90.00
_cell_angle_beta 90.00
_cell_angle_gamma 90.00
loop_
_atom_site_label
_atom_site_fract_x
_atom_site_fract_y
_atom_site_fract_z
Tb1 0.000 0.076 0.250
Ho1 0.000 0.356 0.068
Ru1 0.000 0.257 0.750
```


Q: Which value of VASP energy does entry 7 give?
A: -296.8 eV per cell


Repeat the seventh record exactly.
DFT (PBE) results for an optimized crystal structure of TbHo2Ru9.

Results
E_form ... -0.139 eV per atom
Calculated density ... 11.12 g cm⁻³
VASP energy ... -296.8 eV per cell

```
data_TbHo2Ru9
_chemical_formula_sum 'Tb3 Ho6 Ru27'
_symmetry_space_group_name_H-M 'R -3 m'
_symmetry_Int_Tables_number 166
_symmetry_space_group_name_Hall '-R 3 2"'
_cell_length_a 5.2597
_cell_length_b 5.2597
_cell_length_c 26.1503
_cell_angle_alpha 90.00
_cell_angle_beta 90.00
_cell_angle_gamma 120.00
loop_
_atom_site_label
_atom_site_fract_x
_atom_site_fract_y
_atom_site_fract_z
Tb1 0.0000 0.0000 0.0000
Ho1 0.0000 0.0000 0.1397
Ru1 0.0000 0.0000 0.3378
Ru2 0.0000 0.0000 0.5000
Ru3 0.0094 0.5047 0.9170
```